# GGA-PBE Cu2Ge, optimized geometry
# **Formation energy from the elements**: 0.1 eV/f.u.
# **Calculated volume**: 84.5 Å³/cell
# **Theoretical density**: 7.85 g/cm3
data_Cu2Ge
_cell_length_a 3.7369
_cell_length_b 3.7369
_cell_length_c 6.0543
_cell_angle_alpha 90.00
_cell_angle_beta 90.00
_cell_angle_gamma 90.00
_symmetry_space_group_name_H-M 'P 4/n m m'
_symmetry_Int_Tables_number 129
loop_
_symmetry_equiv_pos_as_xyz
'x,y,z'
'-x,-y,-z'
'-y+1/2,x,z'
'y+1/2,-x,-z'
'-x+1/2,-y+1/2,z'
'x+1/2,y+1/2,-z'
'y,-x+1/2,z'
'-y,x+1/2,-z'
'x+1/2,-y,-z'
'-x+1/2,y,z'
'-y,-x,-z'
'y,x,z'
'-x,y+1/2,-z'
'x,-y+1/2,z'
'y+1/2,x+1/2,-z'
'-y+1/2,-x+1/2,z'
loop_
_atom_site_label
_atom_site_fract_x
_atom_site_fract_y
_atom_site_fract_z
Cu1 0.2500 0.2500 0.2050
Cu2 0.2500 0.7500 0.5000
Ge1 0.2500 0.2500 0.8006

# GGA-PBE Cu13Ge2, optimized geometry
# **Formation energy from the elements**: 0.1 eV/f.u.
# **Calculated volume**: 186.9 Å³/cell
# **Theoretical density**: 8.63 g/cm3
data_Cu13Ge2
_cell_length_a 4.5359
_cell_length_b 6.3611
_cell_length_c 6.9037
_cell_angle_alpha 70.90
_cell_angle_beta 83.15
_cell_angle_gamma 88.06
_symmetry_space_group_name_H-M 'P -1'
_symmetry_Int_Tables_number 2
loop_
_symmetry_equiv_pos_as_xyz
'x,y,z'
'-x,-y,-z'
loop_
_atom_site_label
_atom_site_fract_x
_atom_site_fract_y
_atom_site_fract_z
Cu1 0.0000 0.0000 0.0000
Cu2 0.1374 0.2676 0.1995
Cu3 0.2042 0.4044 0.8083
Cu4 0.2709 0.5333 0.3966
Cu5 0.3335 0.6656 0.9983
Cu6 0.3924 0.8007 0.6006
Cu7 0.4628 0.9332 0.1946
Ge1 0.0798 0.1453 0.6085

# GGA-PBE CuGe, optimized geometry
# **Formation energy from the elements**: 0.2 eV/f.u.
# **Calculated volume**: 194.6 Å³/cell
# **Theoretical density**: 6.97 g/cm3
data_CuGe
_cell_length_a 4.0967
_cell_length_b 10.6504
_cell_length_c 4.4598
_cell_angle_alpha 90.00
_cell_angle_beta 90.00
_cell_angle_gamma 90.00
_symmetry_space_group_name_H-M 'I m m 2'
_symmetry_Int_Tables_number 44
loop_
_symmetry_equiv_pos_as_xyz
'x,y,z'
'-x,-y,z'
'-x,y,z'
'x,-y,z'
'x+1/2,y+1/2,z+1/2'
'-x+1/2,-y+1/2,z+1/2'
'-x+1/2,y+1/2,z+1/2'
'x+1/2,-y+1/2,z+1/2'
loop_
_atom_site_label
_atom_site_fract_x
_atom_site_fract_y
_atom_site_fract_z
Cu1 0.0000 0.0000 0.0000
Cu2 0.0000 0.1225 0.5102
Ge1 0.0000 0.2373 0.0033
Ge2 0.0000 0.5000 0.8418

# GGA-PBE Cu4Ge, optimized geometry
# **Formation energy from the elements**: 3.5 eV/f.u.
# **Calculated volume**: 88.4 Å³/cell
# **Theoretical density**: 6.14 g/cm3
data_Cu4Ge
_cell_length_a 4.4546
_cell_length_b 4.4546
_cell_length_c 4.4546
_cell_angle_alpha 90.00
_cell_angle_beta 90.00
_cell_angle_gamma 90.00
_symmetry_space_group_name_H-M 'P m -3 m'
_symmetry_Int_Tables_number 221
_symmetry_space_group_name_Hall '-P 4 2 3'
loop_
_atom_site_label
_atom_site_fract_x
_atom_site_fract_y
_atom_site_fract_z
Cu1 0.0000 0.0000 0.0000
Cu2 0.0000 0.5000 0.5000
Ge1 0.5000 0.5000 0.5000